## Pm3HgO2 (PBE-GGA)

Data for a relaxed Pm3HgO2 crystal.

```
12
Lattice="3.9794 0.0000 0.0000 0.0000 6.4787 0.0010 0.0000 -0.0016 11.2816" Properties=species:S:1:pos:R:3 pbc="T T T"
Hg 2.9845 0.7430 8.4614
Hg 0.9948 5.7342 2.8212
Pm 2.9845 4.6765 5.1936
Pm 0.9948 4.8514 8.4620
Pm 0.9948 1.8000 10.8340
Pm 2.9845 1.6257 2.8206
Pm 2.9845 4.6772 0.4486
Pm 0.9948 1.8006 6.0890
O 2.9845 2.3759 5.0018
O 2.9845 2.3765 0.6398
O 0.9948 4.1006 10.6428
O 0.9948 4.1012 6.2809
```

## Properties
- total magnetization (μB per cell) = 0.0
- final energy (eV per cell) = -73.61
- uncorrected formation energy (eV per atom) = -2.056
- calculated density (kg/m3) = 7623